No. 1
A relaxed Li2HoZn10 crystal. Source: Alexandria, functional PBE.

POSCAR file:
```
Li2HoZn10
1.0
0.000 6.393 6.368
2.479 0.000 6.368
2.479 6.393 0.000
Zn Li Ho
10 2 1
direct
0.994 0.647 0.353 Zn
0.647 0.994 0.006 Zn
0.505 0.718 0.282 Zn
0.500 0.500 0.000 Zn
0.282 0.495 0.505 Zn
0.718 0.505 0.495 Zn
0.353 0.006 0.994 Zn
0.495 0.282 0.718 Zn
0.006 0.353 0.647 Zn
0.000 0.000 0.500 Zn
0.500 0.000 0.500 Li
0.000 0.500 0.000 Li
0.000 0.000 0.000 Ho
```

## Properties
ΔH_f (0 K): -0.20 eV per atom
Final energy: -23.75 eV for the cell shown
Magnetic moment: 0.0 μB/f.u.

***

No. 2
A relaxed LiHo2Zn crystal. Source: Alexandria, functional PBE.

POSCAR file:
```
LiHo2Zn
1.0
-0.409 1.923 -3.058
1.277 -4.062 -2.725
-4.858 -1.381 -0.218
Li Ho Zn
1 2 1
direct
0.500 0.500 0.500 Li
0.000 0.500 0.000 Ho
0.000 0.000 0.500 Ho
0.500 0.000 0.000 Zn
```

## Properties
ΔH_f (0 K): -0.12 eV per atom
Final energy: -12.84 eV for the cell shown
ΔE to the lowest computed polymorph: 0.0000 eV per atom
Magnetic moment: 0.0 μB/f.u.

***

No. 3
A relaxed LiHoZn2 crystal. Source: Alexandria, functional PBE.

POSCAR file:
```
LiHoZn2
1.0
3.316 0.000 0.000
0.000 4.933 0.000
0.000 0.000 4.933
Zn Ho Li
2 1 1
direct
0.000 0.000 0.500 Zn
0.000 0.500 0.000 Zn
0.500 0.000 0.000 Ho
0.500 0.500 0.500 Li
```

## Properties
ΔH_f (0 K): -0.18 eV per atom
Final energy: -9.77 eV for the cell shown
ΔE to the lowest computed polymorph: 0.0604 eV per atom
Magnetic moment: 0.0 μB/f.u.

***

No. 4
A relaxed LiHoZn crystal. Source: Alexandria, functional PBE.

POSCAR file:
```
LiHoZn
1.0
-1.242 2.219 2.590
1.690 -1.995 2.518
3.633 2.579 -3.011
Li Zn Ho
1 1 1
direct
0.635 0.635 0.271 Li
0.271 0.271 0.543 Zn
0.943 0.943 0.886 Ho
```

## Properties
ΔH_f (0 K): -0.10 eV per atom
Final energy: -8.06 eV for the cell shown
ΔE to the lowest computed polymorph: 0.0338 eV per atom
Magnetic moment: 0.0 μB/f.u.

***

No. 5
A relaxed Li2HoZn9 crystal. Source: Alexandria, functional PBE.

POSCAR file:
```
Li2HoZn9
1.0
2.929 0.000 0.000
0.000 8.703 0.000
0.000 -4.352 7.537
Zn Li Ho
9 2 1
direct
0.000 0.500 0.000 Zn
0.500 0.181 0.819 Zn
0.000 0.000 0.500 Zn
0.500 0.362 0.181 Zn
0.500 0.819 0.181 Zn
0.500 0.638 0.819 Zn
0.000 0.500 0.500 Zn
0.500 0.819 0.638 Zn
0.500 0.181 0.362 Zn
0.000 0.333 0.667 Li
0.000 0.667 0.333 Li
0.000 0.000 0.000 Ho
```

## Properties
ΔH_f (0 K): -0.11 eV per atom
Final energy: -21.17 eV for the cell shown
ΔE to the lowest computed polymorph: 0.0996 eV per atom
Magnetic moment: 0.0 μB/f.u.

***

No. 6
A relaxed LiHo3Zn crystal. Source: Alexandria, functional PBE.

POSCAR file:
```
LiHo3Zn
1.0
4.932 0.000 1.127
0.000 5.059 0.000
0.308 0.000 10.009
Ho Zn Li
6 2 2
direct
0.574 0.250 0.500 Ho
0.387 0.250 0.874 Ho
0.759 0.250 0.130 Ho
0.261 0.750 0.126 Ho
0.889 0.750 0.870 Ho
0.074 0.750 0.500 Ho
0.665 0.750 0.319 Zn
0.984 0.250 0.681 Zn
0.168 0.250 0.312 Li
0.480 0.750 0.688 Li
```

## Properties
ΔH_f (0 K): -0.09 eV per atom
Final energy: -34.76 eV for the cell shown
Magnetic moment: 0.0 μB/f.u.

***

No. 7
A relaxed LiHo2Zn crystal. Source: Alexandria, functional PBE.

POSCAR file:
```
LiHo2Zn
1.0
-0.951 1.925 -2.642
0.220 -1.228 -3.167
-10.455 -3.697 -1.122
Li Ho Zn
1 2 1
direct
0.000 0.000 0.000 Li
0.902 0.902 0.295 Ho
0.098 0.098 0.705 Ho
0.500 0.500 0.500 Zn
```

## Properties
ΔH_f (0 K): 0.12 eV per atom
Final energy: -11.88 eV for the cell shown
ΔE to the lowest computed polymorph: 0.2396 eV per atom
Magnetic moment: 0.0 μB/f.u.

***

No. 8
A relaxed LiHo3Zn8 crystal. Source: Alexandria, functional PBE.

POSCAR file:
```
LiHo3Zn8
1.0
-3.461 -4.028 0.870
0.986 -3.606 3.871
-5.184 2.446 7.341
Zn Ho Li
8 3 1
direct
0.936 0.438 0.189 Zn
0.438 0.936 0.189 Zn
0.938 0.439 0.685 Zn
0.188 0.188 0.436 Zn
0.938 0.938 0.685 Zn
0.439 0.938 0.685 Zn
0.687 0.687 0.938 Zn
0.438 0.438 0.189 Zn
0.378 0.378 0.867 Ho
0.995 0.995 0.016 Ho
0.503 0.503 0.491 Ho
0.873 0.873 0.382 Li
```

## Properties
ΔH_f (0 K): -0.30 eV per atom
Final energy: -29.47 eV for the cell shown
Magnetic moment: 0.0 μB/f.u.

***

No. 9
A relaxed Li4HoZn8 crystal. Source: Alexandria, functional PBE.

POSCAR file:
```
Li4HoZn8
1.0
-3.487 -3.037 -0.915
-1.739 -3.404 5.782
-6.130 3.097 0.940
Li Zn Ho
4 8 1
direct
0.500 0.000 0.500 Li
0.000 0.500 0.000 Li
0.000 0.000 0.500 Li
0.500 0.500 0.000 Li
0.643 0.357 0.357 Zn
0.500 0.783 0.217 Zn
0.000 0.357 0.643 Zn
0.283 0.217 0.217 Zn
0.500 0.217 0.783 Zn
0.717 0.783 0.783 Zn
0.000 0.643 0.357 Zn
0.357 0.643 0.643 Zn
0.000 0.000 0.000 Ho
```

## Properties
ΔH_f (0 K): -0.20 eV per atom
Final energy: -25.00 eV for the cell shown
Magnetic moment: 0.0 μB/f.u.

***

No. 10
A relaxed Li2HoZn crystal. Source: Alexandria, functional PBE.

POSCAR file:
```
Li2HoZn
1.0
-1.408 -2.272 1.699
-0.266 -2.926 -1.182
8.552 -4.250 4.354
Zn Li Ho
1 2 1
direct
0.500 0.500 0.500 Zn
0.099 0.099 0.703 Li
0.901 0.901 0.297 Li
0.000 0.000 0.000 Ho
```

## Properties
ΔH_f (0 K): 0.18 eV per atom
Final energy: -8.97 eV for the cell shown
ΔE to the lowest computed polymorph: 0.1641 eV per atom
Magnetic moment: 0.0 μB/f.u.

***

No. 11
A relaxed LiHo2Zn crystal. Source: Alexandria, functional PBE.

POSCAR file:
```
LiHo2Zn
1.0
-4.604 0.204 -2.129
-2.115 -4.214 -1.881
-3.978 -2.109 2.347
Ho Zn Li
2 1 1
direct
0.250 0.250 0.250 Ho
0.750 0.750 0.750 Ho
0.500 0.500 0.500 Zn
0.000 0.000 0.000 Li
```

## Properties
ΔH_f (0 K): -0.12 eV per atom
Final energy: -12.81 eV for the cell shown
ΔE to the lowest computed polymorph: 0.0077 eV per atom
Magnetic moment: 0.0 μB/f.u.

***

No. 12
A relaxed LiHo5Zn6 crystal. Source: Alexandria, functional PBE.

POSCAR file:
```
LiHo5Zn6
1.0
-1.479 1.718 -4.411
-5.706 -5.980 2.375
1.412 6.860 4.990
Zn Li Ho
6 1 5
direct
0.238 0.398 0.078 Zn
0.262 0.761 0.761 Zn
0.238 0.078 0.398 Zn
0.762 0.922 0.602 Zn
0.738 0.239 0.239 Zn
0.762 0.602 0.922 Zn
0.000 0.000 0.000 Li
0.500 0.165 0.835 Ho
0.000 0.332 0.668 Ho
0.500 0.835 0.165 Ho
0.500 0.500 0.500 Ho
0.000 0.668 0.332 Ho
```

## Properties
ΔH_f (0 K): -0.30 eV per atom
Final energy: -36.05 eV for the cell shown
Magnetic moment: 0.0 μB/f.u.

***

No. 13
A relaxed LiHoZn11 crystal. Source: Alexandria, functional PBE.

POSCAR file:
```
LiHoZn11
1.0
1.617 -3.372 3.647
-0.593 -6.442 -1.999
6.559 -1.483 -0.538
Zn Li Ho
11 1 1
direct
0.007 0.646 0.350 Zn
0.642 0.354 0.350 Zn
0.993 0.354 0.650 Zn
0.000 0.000 0.500 Zn
0.502 0.219 0.785 Zn
0.500 0.000 0.500 Zn
0.498 0.781 0.215 Zn
0.000 0.500 0.000 Zn
0.713 0.781 0.785 Zn
0.358 0.646 0.650 Zn
0.287 0.219 0.215 Zn
0.500 0.500 0.000 Li
0.000 0.000 0.000 Ho
```

## Properties
ΔH_f (0 K): -0.19 eV per atom
Final energy: -22.96 eV for the cell shown
Magnetic moment: 0.0 μB/f.u.

***

No. 14
A relaxed LiHoZn crystal. Source: Alexandria, functional PBE.

POSCAR file:
```
LiHoZn
1.0
3.181 0.000 0.000
0.000 4.733 0.000
0.000 -2.367 4.099
Zn Li Ho
1 1 1
direct
0.167 0.333 0.667 Zn
0.166 0.000 0.000 Li
0.667 0.667 0.333 Ho
```

## Properties
ΔH_f (0 K): -0.11 eV per atom
Final energy: -8.11 eV for the cell shown
ΔE to the lowest computed polymorph: 0.0164 eV per atom
Magnetic moment: 0.0 μB/f.u.

***

No. 15
A relaxed LiHo5Zn4 crystal. Source: Alexandria, functional PBE.

POSCAR file:
```
LiHo5Zn4
1.0
3.578 0.000 0.000
0.000 3.578 0.000
0.000 0.000 17.893
Ho Zn Li
5 4 1
direct
0.500 0.500 0.890 Ho
0.500 0.500 0.110 Ho
0.500 0.500 0.696 Ho
0.500 0.500 0.500 Ho
0.500 0.500 0.304 Ho
0.000 0.000 0.599 Zn
0.000 0.000 0.796 Zn
0.000 0.000 0.401 Zn
0.000 0.000 0.204 Zn
0.000 0.000 0.000 Li
```

## Properties
ΔH_f (0 K): -0.26 eV per atom
Final energy: -32.46 eV for the cell shown
Magnetic moment: 0.0 μB/f.u.

***

No. 16
A relaxed LiHo2Zn16 crystal. Source: Alexandria, functional PBE.

POSCAR file:
```
LiHo2Zn16
1.0
-2.462 -1.795 6.055
5.910 -0.135 3.317
-0.368 6.228 2.650
Zn Li Ho
16 1 2
direct
0.503 0.997 0.997 Zn
0.295 0.703 0.999 Zn
0.647 0.156 0.647 Zn
0.703 0.999 0.295 Zn
0.354 0.835 0.354 Zn
0.703 0.295 0.999 Zn
0.354 0.354 0.835 Zn
0.997 0.503 0.997 Zn
0.999 0.703 0.295 Zn
0.999 0.295 0.703 Zn
0.835 0.354 0.354 Zn
0.997 0.997 0.503 Zn
0.295 0.999 0.703 Zn
0.647 0.647 0.156 Zn
0.107 0.107 0.107 Zn
0.156 0.647 0.647 Zn
0.907 0.907 0.907 Li
0.663 0.663 0.663 Ho
0.338 0.338 0.338 Ho
```

## Properties
ΔH_f (0 K): -0.24 eV per atom
Final energy: -36.01 eV for the cell shown
Magnetic moment: 0.0 μB/f.u.

***

No. 17
A relaxed Li2HoZn crystal. Source: Alexandria, functional PBE.

POSCAR file:
```
Li2HoZn
1.0
-2.882 0.957 1.563
1.091 -1.446 2.896
2.952 5.896 1.832
Zn Li Ho
1 2 1
direct
0.500 0.500 0.000 Zn
0.000 0.000 0.809 Li
0.000 0.000 0.191 Li
0.500 0.500 0.500 Ho
```

## Properties
ΔH_f (0 K): 0.02 eV per atom
Final energy: -9.59 eV for the cell shown
ΔE to the lowest computed polymorph: 0.0110 eV per atom
Magnetic moment: 0.0 μB/f.u.

***

No. 18
A relaxed Li2Ho3Zn9 crystal. Source: Alexandria, functional PBE.

POSCAR file:
```
Li2Ho3Zn9
1.0
4.297 0.000 1.154
1.494 7.490 3.012
0.108 0.758 8.174
Zn Ho Li
9 3 2
direct
0.864 0.426 0.846 Zn
0.343 0.011 0.302 Zn
0.657 0.698 0.989 Zn
0.000 0.500 0.500 Zn
0.343 0.302 0.011 Zn
0.657 0.989 0.698 Zn
0.136 0.154 0.574 Zn
0.864 0.846 0.426 Zn
0.136 0.574 0.154 Zn
0.282 0.718 0.718 Ho
0.000 0.000 0.000 Ho
0.718 0.282 0.282 Ho
0.500 0.679 0.321 Li
0.500 0.321 0.679 Li
```

## Properties
ΔH_f (0 K): -0.30 eV per atom
Final energy: -33.25 eV for the cell shown
Magnetic moment: 0.0 μB/f.u.

***

No. 19
A relaxed LiHo3Zn4 crystal. Source: Alexandria, functional PBE.

POSCAR file:
```
LiHo3Zn4
1.0
4.703 0.000 1.388
2.147 4.185 1.388
0.025 0.015 8.577
Zn Ho Li
4 3 1
direct
0.121 0.121 0.636 Zn
0.879 0.879 0.364 Zn
0.374 0.374 0.877 Zn
0.626 0.626 0.123 Zn
0.254 0.254 0.238 Ho
0.500 0.500 0.500 Ho
0.746 0.746 0.762 Ho
0.000 0.000 0.000 Li
```

## Properties
ΔH_f (0 K): -0.28 eV per atom
Final energy: -22.98 eV for the cell shown
Magnetic moment: 0.0 μB/f.u.

***

No. 20
A relaxed LiHoZn3 crystal. Source: Alexandria, functional PBE.

POSCAR file:
```
LiHoZn3
1.0
5.915 0.368 0.000
2.507 5.371 0.000
0.000 0.000 5.915
Zn Li Ho
6 2 2
direct
0.498 0.265 0.302 Zn
0.120 0.323 0.552 Zn
0.063 0.701 0.802 Zn
0.498 0.265 0.803 Zn
0.063 0.701 0.303 Zn
0.440 0.642 0.052 Zn
0.679 0.881 0.052 Li
0.881 0.085 0.552 Li
0.547 0.749 0.552 Ho
0.014 0.216 0.052 Ho
```

## Properties
ΔH_f (0 K): -0.19 eV per atom
Final energy: -22.54 eV for the cell shown
Magnetic moment: 0.0 μB/f.u.

***

No. 21
A relaxed LiHoZn17 crystal. Source: Alexandria, functional PBE.

POSCAR file:
```
LiHoZn17
1.0
6.722 0.034 0.831
0.739 6.682 0.831
0.038 0.034 6.773
Zn Li Ho
17 1 1
direct
0.646 0.646 0.165 Zn
0.840 0.350 0.350 Zn
0.003 0.693 0.299 Zn
0.991 0.991 0.504 Zn
0.165 0.646 0.646 Zn
0.991 0.504 0.991 Zn
0.299 0.693 0.003 Zn
0.350 0.840 0.350 Zn
0.693 0.299 0.003 Zn
0.350 0.350 0.840 Zn
0.646 0.165 0.646 Zn
0.106 0.106 0.106 Zn
0.901 0.901 0.901 Zn
0.504 0.991 0.991 Zn
0.693 0.003 0.299 Zn
0.003 0.299 0.693 Zn
0.299 0.003 0.693 Zn
0.356 0.356 0.356 Li
0.662 0.662 0.662 Ho
```

## Properties
ΔH_f (0 K): -0.13 eV per atom
Final energy: -30.69 eV for the cell shown
Magnetic moment: 0.0 μB/f.u.

***

No. 22
A relaxed Li2HoZn9 crystal. Source: Alexandria, functional PBE.

POSCAR file:
```
Li2HoZn9
1.0
-1.675 4.941 -0.519
-5.123 1.075 0.289
-1.572 3.105 8.149
Zn Ho Li
9 1 2
direct
0.411 0.920 0.257 Zn
0.666 0.666 0.003 Zn
0.080 0.589 0.743 Zn
0.500 0.500 0.500 Zn
0.589 0.080 0.743 Zn
0.920 0.411 0.257 Zn
0.589 0.589 0.743 Zn
0.334 0.334 0.997 Zn
0.411 0.411 0.257 Zn
0.000 0.000 0.000 Ho
0.857 0.857 0.430 Li
0.143 0.143 0.570 Li
```

## Properties
ΔH_f (0 K): -0.21 eV per atom
Final energy: -22.36 eV for the cell shown
ΔE to the lowest computed polymorph: 0.0000 eV per atom
Magnetic moment: 0.0 μB/f.u.

***

No. 23
A relaxed LiHo4Zn2 crystal. Source: Alexandria, functional PBE.

POSCAR file:
```
LiHo4Zn2
1.0
-1.859 3.028 -3.531
-4.852 -0.258 -1.220
-3.940 6.421 4.028
Ho Zn Li
4 2 1
direct
0.870 0.870 0.391 Ho
0.618 0.618 0.147 Ho
0.382 0.382 0.853 Ho
0.130 0.130 0.609 Ho
0.744 0.744 0.767 Zn
0.256 0.256 0.233 Zn
0.000 0.000 0.000 Li
```

## Properties
ΔH_f (0 K): -0.07 eV per atom
Final energy: -23.28 eV for the cell shown
Magnetic moment: 0.0 μB/f.u.